# NaAsP2O8

A relaxed structure of NaAsP2O8 (PBE-GGA, the Alexandria database).

Structure (CIF):
```
data_NaAsP2O8
_cell_length_a 4.681
_cell_length_b 4.681
_cell_length_c 7.506
_cell_angle_alpha 90.19
_cell_angle_beta 90.19
_cell_angle_gamma 65.81
_space_group_name_H-M_alt 'P 1'
_space_group_IT_number 1
_space_group_name_Hall 'P 1'
loop_
_atom_site_label
_atom_site_type_symbol
_atom_site_fract_x
_atom_site_fract_y
_atom_site_fract_z
Na1 Na 0.000 0.000 0.000
As1 As 0.000 0.000 0.500
P1 P 0.353 0.353 0.705
P2 P 0.647 0.647 0.295
O1 O 0.223 0.722 0.679
O2 O 0.230 0.230 0.541
O3 O 0.278 0.777 0.321
O4 O 0.281 0.281 0.887
O5 O 0.719 0.719 0.113
O6 O 0.722 0.223 0.679
O7 O 0.770 0.770 0.459
O8 O 0.777 0.278 0.321
```

space-group type	C2/m
calculated density	3.19	g/cm3
uncorrected formation energy	-1825	meV per atom
calculated volume	150.01	Å³/cell


# Na3PaAs4O12

A relaxed structure of Na3PaAs4O12 (PBE-GGA, the Alexandria database).

Structure (CIF):
```
data_Na3PaAs4O12
_cell_length_a 7.065
_cell_length_b 7.065
_cell_length_c 7.065
_cell_angle_alpha 105.03
_cell_angle_beta 105.03
_cell_angle_gamma 105.03
_space_group_name_H-M_alt 'P 1'
_space_group_IT_number 1
_space_group_name_Hall 'P 1'
loop_
_atom_site_label
_atom_site_type_symbol
_atom_site_fract_x
_atom_site_fract_y
_atom_site_fract_z
Na1 Na 0.000 0.566 0.434
Na2 Na 0.434 0.000 0.566
Na3 Na 0.566 0.434 0.000
Pa1 Pa 0.000 0.000 0.000
As1 As 0.072 0.500 0.928
As2 As 0.500 0.500 0.500
As3 As 0.500 0.928 0.072
As4 As 0.928 0.072 0.500
O1 O 0.001 0.697 0.812
O2 O 0.077 0.923 0.500
O3 O 0.188 0.303 0.999
O4 O 0.303 0.999 0.188
O5 O 0.352 0.648 0.500
O6 O 0.500 0.077 0.923
O7 O 0.500 0.352 0.648
O8 O 0.648 0.500 0.352
O9 O 0.697 0.812 0.001
O10 O 0.812 0.001 0.697
O11 O 0.923 0.500 0.077
O12 O 0.999 0.188 0.303
```

space-group type	R32
calculated density	4.27	g/cm3
uncorrected formation energy	-1457	meV per atom
calculated volume	308.11	Å³/cell


# NaPaAs2O6

A relaxed structure of NaPaAs2O6 (PBE-GGA, the Alexandria database).

Structure (CIF):
```
data_NaPaAs2O6
_cell_length_a 6.972
_cell_length_b 6.972
_cell_length_c 6.972
_cell_angle_alpha 45.73
_cell_angle_beta 45.73
_cell_angle_gamma 45.73
_space_group_name_H-M_alt 'P 1'
_space_group_IT_number 1
_space_group_name_Hall 'P 1'
loop_
_atom_site_label
_atom_site_type_symbol
_atom_site_fract_x
_atom_site_fract_y
_atom_site_fract_z
Na1 Na 0.000 0.000 0.000
Pa1 Pa 0.500 0.500 0.500
As1 As 0.278 0.278 0.278
As2 As 0.722 0.722 0.722
O1 O 0.079 0.734 0.482
O2 O 0.266 0.518 0.921
O3 O 0.482 0.079 0.734
O4 O 0.518 0.921 0.266
O5 O 0.734 0.482 0.079
O6 O 0.921 0.266 0.518
```

space-group type	R-3
calculated density	5.24	g/cm3
uncorrected formation energy	-2113	meV per atom
calculated volume	158.40	Å³/cell


# NaPa2AsO8

A relaxed structure of NaPa2AsO8 (PBE-GGA, the Alexandria database).

Structure (CIF):
```
data_NaPa2AsO8
_cell_length_a 5.182
_cell_length_b 5.182
_cell_length_c 7.279
_cell_angle_alpha 90.00
_cell_angle_beta 90.00
_cell_angle_gamma 120.00
_space_group_name_H-M_alt 'P 1'
_space_group_IT_number 1
_space_group_name_Hall 'P 1'
loop_
_atom_site_label
_atom_site_type_symbol
_atom_site_fract_x
_atom_site_fract_y
_atom_site_fract_z
Na1 Na 0.000 0.000 0.000
Pa1 Pa 0.333 0.667 0.350
Pa2 Pa 0.667 0.333 0.650
As1 As 0.000 0.000 0.500
O1 O 0.169 0.338 0.641
O2 O 0.169 0.831 0.641
O3 O 0.333 0.667 0.095
O4 O 0.338 0.169 0.359
O5 O 0.662 0.831 0.641
O6 O 0.667 0.333 0.905
O7 O 0.831 0.169 0.359
O8 O 0.831 0.662 0.359
```

space-group type	P-3m1
calculated density	6.75	g/cm3
uncorrected formation energy	-2404	meV per atom
calculated volume	169.28	Å³/cell


# NaPaAsO6

A relaxed structure of NaPaAsO6 (PBE-GGA, the Alexandria database).

Structure (CIF):
```
data_NaPaAsO6
_cell_length_a 7.462
_cell_length_b 7.462
_cell_length_c 7.462
_cell_angle_alpha 123.00
_cell_angle_beta 116.85
_cell_angle_gamma 90.21
_space_group_name_H-M_alt 'P 1'
_space_group_IT_number 1
_space_group_name_Hall 'P 1'
loop_
_atom_site_label
_atom_site_type_symbol
_atom_site_fract_x
_atom_site_fract_y
_atom_site_fract_z
Na1 Na 0.423 0.173 0.250
Na2 Na 0.577 0.827 0.750
Pa1 Pa 0.000 0.500 0.500
Pa2 Pa 0.500 0.500 0.000
As1 As 0.000 0.000 0.500
As2 As 0.000 0.500 0.000
O1 O 0.048 0.419 0.206
O2 O 0.048 0.842 0.629
O3 O 0.055 0.805 0.250
O4 O 0.287 0.158 0.706
O5 O 0.287 0.581 0.129
O6 O 0.345 0.595 0.750
O7 O 0.655 0.405 0.250
O8 O 0.713 0.419 0.871
O9 O 0.713 0.842 0.294
O10 O 0.945 0.195 0.750
O11 O 0.952 0.158 0.371
O12 O 0.952 0.581 0.794
```

space-group type	Imma
calculated density	4.82	g/cm3
uncorrected formation energy	-1972	meV per atom
calculated volume	293.02	Å³/cell


# NaPaAsO2

A relaxed structure of NaPaAsO2 (PBE-GGA, the Alexandria database).

Structure (CIF):
```
data_NaPaAsO2
_cell_length_a 7.019
_cell_length_b 7.019
_cell_length_c 7.019
_cell_angle_alpha 148.46
_cell_angle_beta 148.46
_cell_angle_gamma 45.20
_space_group_name_H-M_alt 'P 1'
_space_group_IT_number 1
_space_group_name_Hall 'P 1'
loop_
_atom_site_label
_atom_site_type_symbol
_atom_site_fract_x
_atom_site_fract_y
_atom_site_fract_z
Na1 Na 0.000 0.000 0.000
Pa1 Pa 0.311 0.311 0.000
As1 As 0.659 0.659 0.000
O1 O 0.383 0.883 0.500
O2 O 0.883 0.383 0.500
```

space-group type	I4mm
calculated density	6.36	g/cm3
uncorrected formation energy	-2124	meV per atom
calculated volume	94.29	Å³/cell


# NaAs2PbO

A relaxed structure of NaAs2PbO (PBE-GGA, the Alexandria database).

Structure (CIF):
```
data_NaAs2PbO
_cell_length_a 5.342
_cell_length_b 5.342
_cell_length_c 6.239
_cell_angle_alpha 90.00
_cell_angle_beta 90.00
_cell_angle_gamma 90.00
_space_group_name_H-M_alt 'P 1'
_space_group_IT_number 1
_space_group_name_Hall 'P 1'
loop_
_atom_site_label
_atom_site_type_symbol
_atom_site_fract_x
_atom_site_fract_y
_atom_site_fract_z
Na1 Na 0.000 0.000 0.000
As1 As 0.000 0.500 0.500
As2 As 0.500 0.000 0.500
Pb1 Pb 0.000 0.000 0.500
O1 O 0.500 0.500 0.000
```

space-group type	P4/mmm
calculated density	3.69	g/cm3
uncorrected formation energy	1101	meV per atom
calculated volume	178.02	Å³/cell


# NaAs3Pb4O12

A relaxed structure of NaAs3Pb4O12 (PBE-GGA, the Alexandria database).

Structure (CIF):
```
data_NaAs3Pb4O12
_cell_length_a 10.257
_cell_length_b 10.257
_cell_length_c 7.481
_cell_angle_alpha 90.00
_cell_angle_beta 90.00
_cell_angle_gamma 120.00
_space_group_name_H-M_alt 'P 1'
_space_group_IT_number 1
_space_group_name_Hall 'P 1'
loop_
_atom_site_label
_atom_site_type_symbol
_atom_site_fract_x
_atom_site_fract_y
_atom_site_fract_z
Na1 Na 0.333 0.667 0.000
Na2 Na 0.667 0.333 0.500
As1 As 0.021 0.625 0.749
As2 As 0.375 0.396 0.749
As3 As 0.396 0.021 0.249
As4 As 0.604 0.979 0.749
As5 As 0.625 0.604 0.249
As6 As 0.979 0.375 0.249
Pb1 Pb 0.004 0.266 0.763
Pb2 Pb 0.262 0.996 0.763
Pb3 Pb 0.266 0.262 0.263
Pb4 Pb 0.333 0.667 0.478
Pb5 Pb 0.667 0.333 0.978
Pb6 Pb 0.734 0.738 0.763
Pb7 Pb 0.738 0.004 0.263
Pb8 Pb 0.996 0.734 0.263
O1 O 0.074 0.757 0.918
O2 O 0.098 0.733 0.559
O3 O 0.115 0.524 0.777
O4 O 0.170 0.491 0.239
O5 O 0.243 0.317 0.918
O6 O 0.267 0.365 0.559
O7 O 0.317 0.074 0.418
O8 O 0.321 0.830 0.239
O9 O 0.365 0.098 0.059
O10 O 0.410 0.885 0.777
O11 O 0.476 0.590 0.777
O12 O 0.491 0.321 0.739
O13 O 0.509 0.679 0.239
O14 O 0.524 0.410 0.277
O15 O 0.590 0.115 0.277
O16 O 0.635 0.902 0.559
O17 O 0.679 0.170 0.739
O18 O 0.683 0.926 0.918
O19 O 0.733 0.635 0.059
O20 O 0.757 0.683 0.418
O21 O 0.830 0.509 0.739
O22 O 0.885 0.476 0.277
O23 O 0.902 0.267 0.059
O24 O 0.926 0.243 0.418
```

space-group type	P6_3
calculated density	6.18	g/cm3
uncorrected formation energy	-1383	meV per atom
calculated volume	681.67	Å³/cell


# NaAsPbO4

A relaxed structure of NaAsPbO4 (PBE-GGA, the Alexandria database).

Structure (CIF):
```
data_NaAsPbO4
_cell_length_a 6.605
_cell_length_b 6.605
_cell_length_c 6.605
_cell_angle_alpha 120.42
_cell_angle_beta 117.60
_cell_angle_gamma 91.74
_space_group_name_H-M_alt 'P 1'
_space_group_IT_number 1
_space_group_name_Hall 'P 1'
loop_
_atom_site_label
_atom_site_type_symbol
_atom_site_fract_x
_atom_site_fract_y
_atom_site_fract_z
Na1 Na 0.500 0.000 0.000
Na2 Na 0.500 0.500 0.500
As1 As 0.127 0.377 0.750
As2 As 0.873 0.623 0.250
Pb1 Pb 0.000 0.000 0.000
Pb2 Pb 0.500 0.000 0.500
O1 O 0.188 0.727 0.461
O2 O 0.235 0.273 0.961
O3 O 0.241 0.276 0.536
O4 O 0.241 0.705 0.964
O5 O 0.759 0.295 0.036
O6 O 0.759 0.724 0.464
O7 O 0.765 0.727 0.039
O8 O 0.812 0.273 0.539
```

space-group type	Imma
calculated density	5.94	g/cm3
uncorrected formation energy	-1341	meV per atom
calculated volume	206.53	Å³/cell


# NaAs2Pb2O6

A relaxed structure of NaAs2Pb2O6 (PBE-GGA, the Alexandria database).

Structure (CIF):
```
data_NaAs2Pb2O6
_cell_length_a 6.160
_cell_length_b 6.160
_cell_length_c 7.888
_cell_angle_alpha 126.01
_cell_angle_beta 126.01
_cell_angle_gamma 55.00
_space_group_name_H-M_alt 'P 1'
_space_group_IT_number 1
_space_group_name_Hall 'P 1'
loop_
_atom_site_label
_atom_site_type_symbol
_atom_site_fract_x
_atom_site_fract_y
_atom_site_fract_z
Na1 Na 0.000 0.000 0.000
As1 As 0.255 0.255 0.847
As2 As 0.745 0.745 0.153
Pb1 Pb 0.402 0.402 0.599
Pb2 Pb 0.598 0.598 0.401
O1 O 0.050 0.516 0.721
O2 O 0.060 0.060 0.747
O3 O 0.484 0.950 0.279
O4 O 0.516 0.050 0.721
O5 O 0.940 0.940 0.253
O6 O 0.950 0.484 0.279
```

space-group type	C2/m
calculated density	6.18	g/cm3
uncorrected formation energy	-1225	meV per atom
calculated volume	183.58	Å³/cell